Computed, not measured: a relaxed ThCu4Ag crystal at the PBE level of DFT.

Lattice parameters (Å, degrees): 7.287 7.287 7.287 90.00 90.00 90.00
Space group F-43m (No. 216)
One atom of each set of equivalent atoms:
Th1 0.000 0.000 0.000 [4 per cell]
Cu1 0.123 0.123 0.623 [16 per cell]
Ag1 0.250 0.250 0.250 [4 per cell]

Computed properties:
The value obtained for the electronic total energy is -111.0 eV for the cell shown. The value obtained for the formation energy is -1.10 eV per formula unit.

=====

Computed, not measured: a relaxed Th3Cu4Ag2 crystal at the PBE level of DFT.

Lattice parameters (Å, degrees): 10.580 4.565 8.650 90.00 116.29 90.00
Space group C2/m (No. 12)
One atom of each set of equivalent atoms:
Th1 0.000 0.000 0.000 [2 per cell]
Th2 0.159 0.500 0.677 [4 per cell]
Cu1 0.061 0.000 0.402 [4 per cell]
Cu2 0.229 0.500 0.053 [4 per cell]
Ag1 0.127 0.500 0.289 [4 per cell]

Computed properties:
The value obtained for the electronic total energy is -91.5 eV for the cell shown. The value obtained for the formation energy is -1.38 eV per formula unit.

=====

Computed, not measured: a relaxed ThCu9Ag2 crystal at the PBE level of DFT.

Lattice parameters (Å, degrees): 5.0587 5.0587 23.9696 90.00 90.00 120.00
Space group R-3m (No. 166, hexagonal axes)
One atom of each set of equivalent atoms:
Th1 0.0000 0.0000 0.0000 [3 per cell]
Cu1 0.0000 0.0000 0.3333 [6 per cell]
Cu2 0.0000 0.0000 0.5000 [3 per cell]
Cu3 0.0028 0.5014 0.9148 [18 per cell]
Ag1 0.0000 0.0000 0.1453 [6 per cell]

Computed properties:
The value obtained for the electronic total energy is -152.6 eV for the cell shown. The value obtained for the formation energy is -0.87 eV per formula unit.

=====

Computed, not measured: a relaxed Th2CuAg3 crystal at the PBE level of DFT.

Lattice parameters (Å, degrees): 6.758 9.595 16.618 90.00 90.00 90.00
Space group Fmmm (No. 69)
One atom of each set of equivalent atoms:
Th1 0.249 0.000 0.000 [8 per cell]
Th2 0.250 0.250 0.250 [8 per cell]
Cu1 0.000 0.000 0.166 [8 per cell]
Ag1 0.000 0.000 0.330 [8 per cell]
Ag2 0.000 0.245 0.085 [16 per cell]

Computed properties:
The value obtained for the electronic total energy is -226.6 eV for the cell shown. The value obtained for the formation energy is -0.84 eV per formula unit.

=====

Computed, not measured: a relaxed Th3Cu2Ag4 crystal at the PBE level of DFT.

Lattice parameters (Å, degrees): 10.706 4.745 8.902 90.00 118.33 90.00
Space group C2/m (No. 12)
One atom of each set of equivalent atoms:
Th1 0.000 0.000 0.000 [2 per cell]
Th2 0.170 0.500 0.659 [4 per cell]
Cu1 0.103 0.500 0.273 [4 per cell]
Ag1 0.050 0.000 0.379 [4 per cell]
Ag2 0.218 0.500 0.060 [4 per cell]

Computed properties:
The value obtained for the electronic total energy is -86.2 eV for the cell shown. The value obtained for the formation energy is -1.25 eV per formula unit.

=====

Computed, not measured: a relaxed Th2Cu2Ag3 crystal at the PBE level of DFT.

Lattice parameters (Å, degrees): 4.315 19.759 3.504 90.00 90.00 90.00
Space group Cmmm (No. 65)
One atom of each set of equivalent atoms:
Th1 0.000 0.162 0.000 [4 per cell]
Cu1 0.000 0.285 0.500 [4 per cell]
Ag1 0.000 0.000 0.000 [2 per cell]
Ag2 0.000 0.430 0.500 [4 per cell]

Computed properties:
The value obtained for the electronic total energy is -64.2 eV for the cell shown. Its distance to the lowest polymorph of the same formula is 24 meV/atom. The value obtained for the formation energy is -0.54 eV per formula unit.

=====

Computed, not measured: a relaxed Th2Cu15Ag2 crystal at the PBE level of DFT.

Lattice parameters (Å, degrees): 8.7492 8.7492 12.7735 90.00 90.00 120.00
Space group R-3m (No. 166, hexagonal axes)
One atom of each set of equivalent atoms:
Th1 0.0000 0.0000 0.1512 [6 per cell]
Cu1 0.0000 0.2998 0.5000 [18 per cell]
Cu2 0.0000 0.5000 0.0000 [9 per cell]
Cu3 0.0049 0.5024 0.6536 [18 per cell]
Ag1 0.0000 0.0000 0.3960 [6 per cell]

Computed properties:
The value obtained for the electronic total energy is -249.9 eV for the cell shown. The value obtained for the formation energy is -1.32 eV per formula unit.

=====

Computed, not measured: a relaxed Th4CuAg crystal at the PBE level of DFT.

Lattice parameters (Å, degrees): 7.480 7.480 5.773 90.00 90.00 90.00
Space group P4/mcc (No. 124)
One atom of each set of equivalent atoms:
Th1 0.151 0.335 0.000 [8 per cell]
Cu1 0.000 0.000 0.250 [2 per cell]
Ag1 0.500 0.500 0.250 [2 per cell]

Computed properties:
The value obtained for the electronic total energy is -74.1 eV for the cell shown. The value obtained for the formation energy is -0.44 eV per formula unit.